[1]
Computed, not measured: a geometry-optimized NiTeSN2 structure at the GGA-PBE level of DFT.

Lattice parameters (Å, degrees): 3.473 3.473 7.050 90.00 90.00 90.00
Fractional positions:
Ni  0.500  0.500  0.500
S  0.000  0.000  0.000
Te  0.000  0.000  0.500
N  0.000  0.500  0.000
N  0.500  0.000  0.000

**Symmetry**: No. 123
**Polymorph energy (0 for the lowest one)**: 0.236 eV/atom
**Total magnetization**: 0.0 μB/cell
**Formation energy without anion corrections**: 140 kJ per mole of atoms
**Calculated total energy**: -0.330 Ry/atom

---

[2]
Computed, not measured: a geometry-optimized Re3GeRh structure at the GGA-PBE level of DFT.

Lattice parameters (Å, degrees): 4.695 4.695 4.695 90.00 90.00 90.00
Each line ends with the local moment (μB).
Fractional positions:
Re  0.000  0.500  0.000  0.32
Re  0.000  0.000  0.500  0.35
Re  0.500  0.000  0.000  0.32
Ge  0.500  0.500  0.500  -0.02
Rh  0.000  0.000  0.000  -0.04

**Symmetry**: No. 221
**Polymorph energy (0 for the lowest one)**: 0.449 eV/atom
**Total magnetization**: 1.0 μB/cell
**Calculated total energy**: -0.555 Ry/atom
**DFT formation energy**: 2.309 eV per atom

---

[3]
Computed, not measured: a geometry-optimized CoPOs3 structure at the GGA-PBE level of DFT.

Lattice parameters (Å, degrees): 4.403 4.403 4.403 90.00 90.00 90.00
Each line ends with the local moment (μB).
Fractional positions:
Co  0.000  0.000  0.000  0.77
Os  0.000  0.500  0.000  0.23
Os  0.000  0.000  0.500  0.30
Os  0.500  0.000  0.000  0.13
P  0.500  0.500  0.500  -0.01

**Symmetry**: No. 221
**Polymorph energy (0 for the lowest one)**: 0.848 eV/atom
**Total magnetization**: 1.5 μB/cell
**Calculated total energy**: -0.526 Ry/atom
**DFT formation energy**: 2.079 eV per atom